Entry 1:
Computed, not measured: an optimized crystal structure of CuTcIr at the GGA-PBE level of DFT.

Cell lengths 4.1165, 6.9891, 7.0012 Å; angles 93.88, 107.10, 90.00 degrees
Element x y z (fractional)
1 Cu 0.0678 0.2694 0.1357
2 Cu 0.4707 0.1621 0.9414
3 Cu 0.5293 0.8379 0.0586
4 Cu 0.9322 0.7306 0.8643
5 Tc 0.2028 0.5732 0.4057
6 Tc 0.7231 0.8102 0.4462
7 Tc 0.7972 0.4268 0.5943
8 Tc 0.2769 0.1898 0.5538
9 Ir 0.4071 0.4987 0.8141
10 Ir 0.6619 0.1270 0.3239
11 Ir 0.5929 0.5013 0.1859
12 Ir 0.3381 0.8730 0.6761

Properties
ΔH_f (0 K) in eV per atom: 0.327
ΔE to the lowest computed polymorph in meV/atom: 331.9
M_tot in μB per formula unit: 0.0
Density in kg/m³: 12235



Entry 2:
Computed, not measured: an optimized crystal structure of CuTcIr2 at the GGA-PBE level of DFT.

Cell lengths 3.8639, 2.7336, 5.9638 Å; angles 62.68, 90.00, 90.00 degrees
Element x y z (fractional)
1 Cu 0.5000 0.7457 0.7543
2 Ir 0.0000 0.0177 0.9823
3 Ir 0.5000 0.2370 0.2626
4 Tc 0.0000 0.4996 0.5008

Properties
ΔH_f (0 K) in eV per atom: 0.038
ΔE to the lowest computed polymorph in meV/atom: 114.8
M_tot in μB per formula unit: 0.0
Density in kg/m³: 16200



Entry 3:
Computed, not measured: an optimized crystal structure of CuTcIr2 at the GGA-PBE level of DFT.

Cell lengths 8.9154, 8.9154, 8.9154 Å; angles 17.60, 17.60, 17.60 degrees
Last column: magnetic moment on the atom in μB.
Element x y z (fractional)
1 Cu 0.7501 0.7501 0.7501  0.00
2 Ir 0.0017 0.0017 0.0017  0.11
3 Ir 0.2478 0.2478 0.2478  0.01
4 Tc 0.5004 0.5004 0.5004  0.00

Properties
ΔH_f (0 K) in eV per atom: 0.073
ΔE to the lowest computed polymorph in meV/atom: 149.4
M_tot in μB per formula unit: 0.1
Density in kg/m³: 16024



Entry 4:
Computed, not measured: an optimized crystal structure of CuTcIr at the GGA-PBE level of DFT.

Cell lengths 4.6255, 4.6255, 4.6255 Å; angles 145.53, 132.04, 60.39 degrees
Element x y z (fractional)
1 Cu 0.9998 0.9998 0.0000
2 Ir 0.6702 0.6702 0.0000
3 Tc 0.3300 0.3300 0.0000

Properties
ΔH_f (0 K) in eV per atom: -0.005
ΔE to the lowest computed polymorph in meV/atom: 0.0
M_tot in μB per formula unit: 0.0
Density in kg/m³: 14258



Entry 5:
Computed, not measured: an optimized crystal structure of CuTcIr2 at the GGA-PBE level of DFT.

Cell lengths 2.7554, 2.7554, 7.3624 Å; angles 90.00, 90.00, 90.00 degrees
Element x y z (fractional)
1 Ir 0.0000 0.0000 0.9998
2 Ir 0.0000 0.0000 0.5002
3 Tc 0.5000 0.5000 0.2500
4 Cu 0.5000 0.5000 0.7500

Properties
ΔH_f (0 K) in eV per atom: -0.077
ΔE to the lowest computed polymorph in meV/atom: 0.0
M_tot in μB per formula unit: 0.0
Density in kg/m³: 16220



Entry 6:
Computed, not measured: an optimized crystal structure of CuTcIr at the GGA-PBE level of DFT.

Cell lengths 2.7135, 2.7135, 6.5705 Å; angles 90.00, 90.00, 120.00 degrees
Element x y z (fractional)
1 Cu 0.0000 0.0000 0.9996
2 Ir 0.3333 0.6667 0.3369
3 Tc 0.6667 0.3333 0.6636

Properties
ΔH_f (0 K) in eV per atom: 0.047
ΔE to the lowest computed polymorph in meV/atom: 51.7
M_tot in μB per formula unit: 0.0
Density in kg/m³: 14021



Entry 7:
Computed, not measured: an optimized crystal structure of CuTcIr6 at the GGA-PBE level of DFT.

Cell lengths 3.8500, 3.8500, 7.7175 Å; angles 90.00, 90.00, 90.00 degrees
Element x y z (fractional)
1 Cu 0.0000 0.0000 0.0000
2 Tc 0.0000 0.0000 0.5000
3 Ir 0.5000 0.5000 0.0000
4 Ir 0.5000 0.5000 0.5000
5 Ir 0.5000 0.0000 0.2530
6 Ir 0.5000 0.0000 0.7470
7 Ir 0.0000 0.5000 0.2530
8 Ir 0.0000 0.5000 0.7470

Properties
ΔH_f (0 K) in eV per atom: -0.034
M_tot in μB per formula unit: 0.0
Density in kg/m³: 19086



Entry 8:
Computed, not measured: an optimized crystal structure of CuTcIr4 at the GGA-PBE level of DFT.

Cell lengths 5.1095, 5.1095, 5.1095 Å; angles 60.00, 60.00, 60.00 degrees
Last column: magnetic moment on the atom in μB.
Element x y z (fractional)
1 Cu 0.0000 0.0000 0.0000  0.01
2 Tc 0.7500 0.7500 0.7500  0.49
3 Ir 0.8759 0.3747 0.3747  -0.01
4 Ir 0.3747 0.3747 0.8759  -0.01
5 Ir 0.3747 0.8759 0.3747  -0.01
6 Ir 0.3747 0.3747 0.3747  -0.01

Properties
ΔH_f (0 K) in eV per atom: 0.556
M_tot in μB per formula unit: 0.5
Density in kg/m³: 16380



Entry 9:
Computed, not measured: an optimized crystal structure of CuTcIr2 at the GGA-PBE level of DFT.

Cell lengths 4.5396, 4.5396, 2.7740 Å; angles 90.00, 90.00, 90.00 degrees
Element x y z (fractional)
1 Cu 0.0000 0.5000 0.5000
2 Ir 0.0000 0.0000 0.0000
3 Ir 0.5000 0.5000 0.0000
4 Tc 0.5000 0.0000 0.5000

Properties
ΔH_f (0 K) in eV per atom: 0.295
ΔE to the lowest computed polymorph in meV/atom: 372.0
M_tot in μB per formula unit: 0.0
Density in kg/m³: 15860



Entry 10:
Computed, not measured: an optimized crystal structure of CuTcIr2 at the GGA-PBE level of DFT.

Cell lengths 5.1792, 5.1792, 5.1792 Å; angles 148.16, 129.44, 61.00 degrees
Element x y z (fractional)
1 Cu 0.2508 0.7508 0.5000
2 Ir 0.0171 0.0171 0.0000
3 Ir 0.7458 0.2458 0.5000
4 Tc 0.4863 0.4863 0.0000

Properties
ΔH_f (0 K) in eV per atom: 0.227
ΔE to the lowest computed polymorph in meV/atom: 304.1
M_tot in μB per formula unit: 0.0
Density in kg/m³: 16164



Entry 11:
Computed, not measured: an optimized crystal structure of ZrCuTcIr2 at the GGA-PBE level of DFT.

Cell lengths 4.4613, 4.5773, 4.4613 Å; angles 90.00, 90.00, 90.00 degrees
Last column: magnetic moment on the atom in μB.
Element x y z (fractional)
1 Ir 0.0000 0.0000 0.5000  0.00
2 Ir 0.5000 0.0000 0.0000  0.06
3 Tc 0.5000 0.5000 0.5000  1.38
4 Zr 0.0000 0.5000 0.0000  -0.09
5 Cu 0.0000 0.0000 0.0000  0.00

Properties
ΔH_f (0 K) in eV per atom: 1.115
M_tot in μB per formula unit: 1.5
Density in kg/m³: 11614



Entry 12:
Computed, not measured: an optimized crystal structure of Cu2TeIr at the GGA-PBE level of DFT.

Cell lengths 3.1125, 3.7224, 5.4816 Å; angles 90.00, 90.00, 90.00 degrees
Element x y z (fractional)
1 Cu 0.0000 0.0000 0.0374
2 Cu 0.5000 0.5000 0.2310
3 Ir 0.0000 0.0000 0.5009
4 Te 0.5000 0.5000 0.7308

Properties
Calculated total energy in eV/atom: -4.80
M_tot in μB per formula unit: 0.0
Density in kg/m³: 11685



Entry 13:
Computed, not measured: an optimized crystal structure of CuTe4Ir at the GGA-PBE level of DFT.

Cell lengths 7.4253, 7.4253, 7.4253 Å; angles 108.15, 108.15, 112.14 degrees
Element x y z (fractional)
1 Cu 0.7568 0.7568 0.0000
2 Cu 0.5068 0.0068 0.5000
3 Te 0.2492 0.9419 0.6927
4 Te 0.7501 0.4466 0.6965
5 Te 0.6919 0.4992 0.1927
6 Te 0.1967 0.0001 0.1965
7 Te 0.3065 0.4992 0.8073
8 Te 0.8036 0.0001 0.8035
9 Te 0.7501 0.0536 0.3035
10 Te 0.2492 0.5565 0.3073
11 Ir 0.2445 0.2445 0.0000
12 Ir 0.9945 0.4945 0.5000

Properties
ΔE to the lowest computed polymorph in meV/atom: 197.5
M_tot in μB per formula unit: 0.0
Density in kg/m³: 8087



Entry 14:
Computed, not measured: an optimized crystal structure of Cu2TeIr at the GGA-PBE level of DFT.

Cell lengths 8.3534, 8.3534, 8.3534 Å; angles 21.11, 21.11, 21.11 degrees
Element x y z (fractional)
1 Cu 0.9906 0.9906 0.9906
2 Cu 0.2519 0.2519 0.2519
3 Ir 0.5049 0.5049 0.5049
4 Te 0.7525 0.7525 0.7525

Properties
Calculated total energy in eV/atom: -4.60
M_tot in μB per formula unit: 0.0
Density in kg/m³: 11210



Entry 15:
Computed, not measured: an optimized crystal structure of Cu2TeIr at the GGA-PBE level of DFT.

Cell lengths 4.9858, 4.9858, 4.9858 Å; angles 134.69, 134.69, 66.01 degrees
Element x y z (fractional)
1 Cu 0.0000 0.0000 0.0000
2 Cu 0.5000 0.5000 0.0000
3 Ir 0.7500 0.2500 0.5000
4 Te 0.2500 0.7500 0.5000

Properties
Calculated total energy in eV/atom: -4.79
M_tot in μB per formula unit: 0.0
Density in kg/m³: 12032



Entry 16:
Computed, not measured: an optimized crystal structure of Cu2TeIr at the GGA-PBE level of DFT.

Cell lengths 4.5900, 4.5900, 3.1544 Å; angles 90.00, 90.00, 109.42 degrees
Element x y z (fractional)
1 Cu 0.0000 0.0000 0.0000
2 Cu 0.5000 0.5000 0.0000
3 Ir 0.5000 0.0000 0.5000
4 Te 0.0000 0.5000 0.5000

Properties
Calculated total energy in eV/atom: -4.72
M_tot in μB per formula unit: 0.0
Density in kg/m³: 11841



Entry 17:
Computed, not measured: an optimized crystal structure of CuTe2Ir at the GGA-PBE level of DFT.

Cell lengths 4.0776, 4.0776, 6.9380 Å; angles 74.53, 74.53, 55.87 degrees
Element x y z (fractional)
1 Cu 0.4971 0.4971 0.5221
2 Ir 0.7506 0.7506 0.7122
3 Te 0.0187 0.0187 0.9067
4 Te 0.2336 0.2336 0.3590

Properties
ΔE to the lowest computed polymorph in meV/atom: 79.2
M_tot in μB per formula unit: 0.0
Density in kg/m³: 9321



Entry 18:
Computed, not measured: an optimized crystal structure of CuTe2Ir at the GGA-PBE level of DFT.

Cell lengths 4.7557, 4.4657, 4.4668 Å; angles 67.97, 90.00, 90.00 degrees
Element x y z (fractional)
1 Cu 0.0000 0.5312 0.5311
2 Ir 0.5000 0.7183 0.7185
3 Te 0.0000 0.8917 0.8918
4 Te 0.5000 0.3587 0.3586

Properties
ΔE to the lowest computed polymorph in meV/atom: 61.7
M_tot in μB per formula unit: 0.0
Density in kg/m³: 9649



Entry 19:
Computed, not measured: an optimized crystal structure of CuTe2Ir at the GGA-PBE level of DFT.

Cell lengths 4.7511, 4.7511, 3.4881 Å; angles 90.01, 90.01, 99.81 degrees
Element x y z (fractional)
1 Cu 0.5000 0.0000 0.5000
2 Ir 0.0000 0.5000 0.5000
3 Te 0.0000 0.0000 0.0000
4 Te 0.5000 0.5000 0.0000

Properties
ΔE to the lowest computed polymorph in meV/atom: 464.8
M_tot in μB per formula unit: 0.0
Density in kg/m³: 10936



Entry 20:
Computed, not measured: an optimized crystal structure of CuTe2Ir at the GGA-PBE level of DFT.

Cell lengths 3.8571, 4.8854, 4.9087 Å; angles 74.27, 90.00, 90.00 degrees
Element x y z (fractional)
1 Cu 0.5000 0.2500 0.2500
2 Ir 0.5000 0.7500 0.7500
3 Te 0.0000 0.9764 0.9802
4 Te 0.0000 0.5236 0.5198

Properties
ΔE to the lowest computed polymorph in meV/atom: 327.3
M_tot in μB per formula unit: 0.0
Density in kg/m³: 9530